Record 1
This record from Alexandria via LeMat-Bulk describes a relaxed structure of K2ReMoC. The functional is PBE-GGA.

a b c (Å): 6.597 6.597 4.675
angles (deg): 90.00 90.00 90.00
Space group P4/mmm (No. 123)
Unique sites:
K1 0.000 0.500 0.000 x2
Re1 0.000 0.000 0.500 x1
Mo1 0.000 0.000 0.000 x1
C1 0.500 0.500 0.500 x1

Properties
DFT total energy = -4.29 eV per atom
Total moment = 2.8 μB per formula unit
N(E_F) = 0.836 states/eV per atom

=====

Record 2
This record from Alexandria via LeMat-Bulk describes a relaxed structure of KTl2MoC. The functional is PBE-GGA.

a b c (Å): 5.436 5.436 6.858
angles (deg): 90.00 90.00 90.00
Space group P4/mmm (No. 123)
Unique sites:
K1 0.000 0.000 0.000 x1
Tl1 0.000 0.500 0.500 x2
Mo1 0.000 0.000 0.500 x1
C1 0.500 0.500 0.000 x1

Properties
DFT total energy = -3.14 eV per atom
Total moment = 5.6 μB per formula unit
N(E_F) = 1.441 states/eV per atom

=====

Record 3
This record from Alexandria via LeMat-Bulk describes a relaxed structure of K2CN2. The functional is PBE-GGA.

a b c (Å): 5.825 5.762 5.903
angles (deg): 90.00 109.44 90.00
Space group C2/m (No. 12)
Unique sites:
K1 0.177 0.000 0.291 x4
C1 0.000 0.500 0.000 x2
N1 0.154 0.500 0.206 x4

Properties
DFT total energy = -6.10 eV per atom
Total moment = 0.0 μB per formula unit
N(E_F) = 0.000 states/eV per atom
Polymorph energy (0 for the lowest one) = 0 meV/atom
Uncorrected formation energy = -2.41 eV/f.u.

=====

Record 4
This record from Alexandria via LeMat-Bulk describes a relaxed structure of K2CN2. The functional is PBE-GGA.

a b c (Å): 11.528 5.319 8.294
angles (deg): 90.00 132.09 90.00
Space group C2/m (No. 12)
Unique sites:
K1 0.128 0.000 0.322 x4
K2 0.221 0.500 0.139 x4
C1 0.025 0.500 0.407 x4
N1 0.060 0.500 0.289 x4
N2 0.122 0.500 0.644 x4

Properties
DFT total energy = -5.77 eV per atom
Total moment = 0.0 μB per formula unit
Polymorph energy (0 for the lowest one) = 323 meV/atom
Uncorrected formation energy = -0.79 eV/f.u.

=====

Record 5
This record from Alexandria via LeMat-Bulk describes a relaxed structure of KCN. The functional is PBE-GGA.

a b c (Å): 3.994 3.994 2.658
angles (deg): 90.00 90.00 90.00
Space group P4/mmm (No. 123)
Unique sites:
K1 0.000 0.000 0.000 x1
C1 0.500 0.500 0.500 x1
N1 0.500 0.500 0.000 x1

Properties
DFT total energy = -5.19 eV per atom
Total moment = 0.0 μB per formula unit
N(E_F) = 0.152 states/eV per atom
Polymorph energy (0 for the lowest one) = 1301 meV/atom
Uncorrected formation energy = 3.07 eV/f.u.

=====

Record 6
This record from Alexandria via LeMat-Bulk describes a relaxed structure of KCN. The functional is PBE-GGA.

a b c (Å): 7.522 4.510 8.872
angles (deg): 90.00 108.72 90.00
Space group Cc (No. 9)
Unique sites:
K1 0.000 0.205 0.000 x4
C1 0.238 0.305 0.705 x4
N1 0.267 0.179 0.827 x4

Properties
DFT total energy = -6.49 eV per atom
Total moment = 0.0 μB per formula unit
N(E_F) = 0.000 states/eV per atom
Polymorph energy (0 for the lowest one) = 1 meV/atom
Uncorrected formation energy = -0.83 eV/f.u.

=====

Record 7
This record from Alexandria via LeMat-Bulk describes a relaxed structure of KCN. The functional is PBE-GGA.

a b c (Å): 5.252 5.705 8.265
angles (deg): 77.28 83.18 72.75
Space group P1 (No. 1)
Unique sites:
K1 0.000 0.000 0.000 x1
K2 0.132 0.352 0.279 x1
K3 0.360 0.457 0.788 x1
K4 0.748 0.899 0.492 x1
C1 0.283 0.808 0.306 x1
C2 0.524 0.649 0.219 x1
C3 0.561 0.858 0.894 x1
C4 0.631 0.668 0.057 x1
N1 0.356 0.634 0.447 x1
N2 0.593 0.470 0.367 x1
N3 0.783 0.710 0.826 x1
N4 0.858 0.521 0.981 x1

Properties
DFT total energy = -5.91 eV per atom
Total moment = 0.0 μB per formula unit
Polymorph energy (0 for the lowest one) = 580 meV/atom
Uncorrected formation energy = 0.91 eV/f.u.

=====

Record 8
This record from Alexandria via LeMat-Bulk describes a relaxed structure of K3CN. The functional is PBE-GGA.

a b c (Å): 5.354 5.354 5.354
angles (deg): 90.00 90.00 90.00
Space group Pm-3m (No. 221)
Unique sites:
K1 0.000 0.000 0.500 x3
C1 0.500 0.500 0.500 x1
N1 0.000 0.000 0.000 x1

Properties
DFT total energy = -2.84 eV per atom
Total moment = 4.0 μB per formula unit
N(E_F) = 0.560 states/eV per atom
Polymorph energy (0 for the lowest one) = 0 meV/atom
Uncorrected formation energy = 6.66 eV/f.u.

=====

Record 9
This record from Alexandria via LeMat-Bulk describes a relaxed structure of KC2N. The functional is PBE-GGA.

a b c (Å): 5.882 5.882 5.882
angles (deg): 90.00 90.00 90.00
Space group Fm-3m (No. 225)
Unique sites:
K1 0.000 0.000 0.000 x4
C1 0.250 0.250 0.250 x8
N1 0.000 0.000 0.500 x4

Properties
DFT total energy = -3.23 eV per atom
Total moment = 0.0 μB per formula unit
N(E_F) = 0.637 states/eV per atom
Polymorph energy (0 for the lowest one) = 1437 meV/atom
Uncorrected formation energy = 14.94 eV/f.u.

=====

Record 10
This record from Alexandria via LeMat-Bulk describes a relaxed structure of K5C3N6. The functional is PBE-GGA.

a b c (Å): 8.072 8.072 8.072
angles (deg): 90.00 90.00 90.00
Space group Im-3m (No. 229)
Unique sites:
K1 0.000 0.000 0.000 x2
K2 0.250 0.250 0.250 x8
C1 0.000 0.000 0.500 x6
N1 0.000 0.000 0.346 x12

Properties
DFT total energy = -6.31 eV per atom
Total moment = 1.1 μB per formula unit
N(E_F) = 1.041 states/eV per atom
Uncorrected formation energy = -5.29 eV/f.u.

=====

Record 11
This record from Alexandria via LeMat-Bulk describes a relaxed structure of KCN. The functional is PBE-GGA.

a b c (Å): 4.256 6.258 5.331
angles (deg): 90.00 90.00 90.00
Space group Imm2 (No. 44)
Unique sites:
K1 0.000 0.000 0.000 x2
C1 0.000 0.500 0.913 x2
N1 0.000 0.500 0.134 x2

Properties
DFT total energy = -6.49 eV per atom
Total moment = 0.0 μB per formula unit
N(E_F) = 0.000 states/eV per atom
Polymorph energy (0 for the lowest one) = 0 meV/atom
Uncorrected formation energy = -0.83 eV/f.u.

=====

Record 12
This record from Alexandria via LeMat-Bulk describes a relaxed structure of K3C2N4. The functional is PBE-GGA.

a b c (Å): 4.276 6.913 11.782
angles (deg): 90.00 90.00 90.00
Space group Immm (No. 71)
Unique sites:
K1 0.000 0.000 0.000 x2
K2 0.000 0.500 0.204 x4
C1 0.000 0.224 0.500 x4
N1 0.000 0.232 0.395 x8

Properties
DFT total energy = -6.40 eV per atom
Total moment = 1.0 μB per formula unit
N(E_F) = 0.123 states/eV per atom
Uncorrected formation energy = -2.53 eV/f.u.